Record 1
# PBE NaInGe, relaxed
# V, A^3/atom: 26.08
# Total moment, μB/cell: 0.0
# Formation energy from the elements, eV/atom: 0.043
data_NaInGe
_chemical_formula_sum 'Na4 In4 Ge4'
_space_group_name_H-M_alt 'C m c m'
_space_group_IT_number 63
_space_group_name_Hall '-C 2c 2'
_cell_length_a 4.1693
_cell_length_b 11.1388
_cell_length_c 6.7396
_cell_angle_alpha 90.00
_cell_angle_beta 90.00
_cell_angle_gamma 90.00
loop_
_atom_site_label
_atom_site_type_symbol
_atom_site_fract_x
_atom_site_fract_y
_atom_site_fract_z
_atom_site_occupancy
Na1 Na 0.0000 0.2027 0.2500 1
In1 In 0.0000 0.5000 0.0000 1
Ge1 Ge 0.0000 0.0917 0.7500 1

Record 2
# PBE Na3InGe, relaxed
# V, A^3/atom: 28.00
# Total moment, μB/cell: 0.0
# Formation energy from the elements, eV/atom: -0.084
# E above lowest polymorph, eV/atom: 0.000
data_Na3InGe
_chemical_formula_sum 'Na12 In4 Ge4'
_space_group_name_H-M_alt 'P 42/m n m'
_space_group_IT_number 136
_space_group_name_Hall '-P 4n 2n'
_cell_length_a 11.3342
_cell_length_b 11.3342
_cell_length_c 4.3598
_cell_angle_alpha 90.00
_cell_angle_beta 90.00
_cell_angle_gamma 90.00
loop_
_atom_site_label
_atom_site_type_symbol
_atom_site_fract_x
_atom_site_fract_y
_atom_site_fract_z
_atom_site_occupancy
Na1 Na 0.0039 0.3302 0.0000 1
Na2 Na 0.1256 0.1256 0.5000 1
In1 In 0.1897 0.8103 0.5000 1
Ge1 Ge 0.0767 0.9233 0.0000 1

Record 3
# PBE NaInGe, relaxed
# V, A^3/atom: 26.10
# Total moment, μB/cell: 0.0
# Formation energy from the elements, eV/atom: -0.061
data_NaInGe
_chemical_formula_sum 'Na4 In4 Ge4'
_space_group_name_H-M_alt 'C 1 2/m 1'
_space_group_IT_number 12
_cell_length_a 13.5485
_cell_length_b 3.9028
_cell_length_c 6.0981
_cell_angle_alpha 90.00
_cell_angle_beta 103.76
_cell_angle_gamma 90.00
loop_
_space_group_symop_operation_xyz
'x,y,z'
'-x,-y,-z'
'-x,y,-z'
'x,-y,z'
'x+1/2,y+1/2,z'
'-x+1/2,-y+1/2,-z'
'-x+1/2,y+1/2,-z'
'x+1/2,-y+1/2,z'
loop_
_atom_site_label
_atom_site_type_symbol
_atom_site_fract_x
_atom_site_fract_y
_atom_site_fract_z
_atom_site_occupancy
Na1 Na 0.1361 0.0000 0.3500 1
In1 In 0.0651 0.5000 0.8112 1
Ge1 Ge 0.2341 0.0000 0.8518 1

The calculation returns the following total DFT energy (no corrections) values, one per record and in order: -2.85; -2.35; -2.95 eV per atom.